No. 1
# PBE CaCoCuC, relaxed
data_CaCoCuC
_chemical_formula_sum 'Ca2 Co2 Cu2 C2'
_cell_length_a 3.373
_cell_length_b 3.373
_cell_length_c 10.116
_cell_angle_alpha 90.00
_cell_angle_beta 90.00
_cell_angle_gamma 90.00
_symmetry_space_group_name_H-M 'P 4/n m m'
_symmetry_Int_Tables_number 129
loop_
_symmetry_equiv_pos_as_xyz
'x,y,z'
'-x,-y,-z'
'-y+1/2,x,z'
'y+1/2,-x,-z'
'-x+1/2,-y+1/2,z'
'x+1/2,y+1/2,-z'
'y,-x+1/2,z'
'-y,x+1/2,-z'
'x+1/2,-y,-z'
'-x+1/2,y,z'
'-y,-x,-z'
'y,x,z'
'-x,y+1/2,-z'
'x,-y+1/2,z'
'y+1/2,x+1/2,-z'
'-y+1/2,-x+1/2,z'
loop_
_atom_site_label
_atom_site_fract_x
_atom_site_fract_y
_atom_site_fract_z
Ca1 0.250 0.250 0.244
Co1 0.250 0.750 0.000
Cu1 0.250 0.750 0.500
C1 0.250 0.250 0.902
# Energy (eV/cell): -45.12

=====

No. 2
# PBE K6MnS4, relaxed
data_K6MnS4
_chemical_formula_sum 'K12 Mn2 S8'
_cell_length_a 9.9018
_cell_length_b 9.9018
_cell_length_c 7.7428
_cell_angle_alpha 90.00
_cell_angle_beta 90.00
_cell_angle_gamma 120.00
_symmetry_space_group_name_H-M 'P 63 m c'
_symmetry_Int_Tables_number 186
_symmetry_space_group_name_Hall 'P 6c -2c'
loop_
_atom_site_label
_atom_site_fract_x
_atom_site_fract_y
_atom_site_fract_z
K1 0.0604 0.5302 0.0000
K2 0.1464 0.2929 0.6753
Mn1 0.3333 0.6667 0.3862
S1 0.1969 0.3938 0.2869
S2 0.3333 0.6667 0.7030
# Energy (eV/cell): -87.62
# Formation energy from raw total energies (meV/atom): -1049